1.
# TmFeRe (PBE, relaxed)
# * total magnetization: 1.35 μB/atom
data_TmFeRe
_chemical_formula_sum 'Tm4 Fe4 Re4'
_space_group_name_H-M_alt 'F -4 3 m'
_space_group_IT_number 216
_space_group_name_Hall 'F -4 2 3'
_cell_length_a 6.267
_cell_length_b 6.267
_cell_length_c 6.267
_cell_angle_alpha 90.00
_cell_angle_beta 90.00
_cell_angle_gamma 90.00
loop_
_atom_site_label
_atom_site_fract_x
_atom_site_fract_y
_atom_site_fract_z
Tm1 0.000 0.000 0.000
Fe1 0.250 0.250 0.750
Re1 0.250 0.250 0.250

---

2.
# TmFeRe (PBE, relaxed)
# * total magnetization: 0.00 μB/atom
data_TmFeRe
_chemical_formula_sum 'Tm4 Fe4 Re4'
_space_group_name_H-M_alt 'F -4 3 m'
_space_group_IT_number 216
_space_group_name_Hall 'F -4 2 3'
_cell_length_a 6.021
_cell_length_b 6.021
_cell_length_c 6.021
_cell_angle_alpha 90.00
_cell_angle_beta 90.00
_cell_angle_gamma 90.00
loop_
_atom_site_label
_atom_site_fract_x
_atom_site_fract_y
_atom_site_fract_z
Tm1 0.000 0.000 0.000
Fe1 0.250 0.250 0.750
Re1 0.000 0.000 0.500

---

3.
# UFeRe (PBE, relaxed)
# * total magnetization: 0.08 μB/atom
data_UFeRe
_chemical_formula_sum 'U4 Fe4 Re4'
_space_group_name_H-M_alt 'F -4 3 m'
_space_group_IT_number 216
_space_group_name_Hall 'F -4 2 3'
_cell_length_a 5.956
_cell_length_b 5.956
_cell_length_c 5.956
_cell_angle_alpha 90.00
_cell_angle_beta 90.00
_cell_angle_gamma 90.00
loop_
_atom_site_label
_atom_site_fract_x
_atom_site_fract_y
_atom_site_fract_z
U1 0.000 0.000 0.000
Fe1 0.250 0.250 0.250
Re1 0.000 0.000 0.500

---

4.
# UFeRe (PBE, relaxed)
# * total magnetization: 0.37 μB/atom
data_UFeRe
_chemical_formula_sum 'U4 Fe4 Re4'
_space_group_name_H-M_alt 'F -4 3 m'
_space_group_IT_number 216
_space_group_name_Hall 'F -4 2 3'
_cell_length_a 6.057
_cell_length_b 6.057
_cell_length_c 6.057
_cell_angle_alpha 90.00
_cell_angle_beta 90.00
_cell_angle_gamma 90.00
loop_
_atom_site_label
_atom_site_fract_x
_atom_site_fract_y
_atom_site_fract_z
U1 0.000 0.000 0.000
Fe1 0.250 0.250 0.750
Re1 0.250 0.250 0.250

---

Calculated ΔE to the lowest computed polymorph, 25.261; 0.000; 0.000; 9.726 kcal/mol of atoms (same order as the records).
Calculated formation energy, 1583; 487; 467; 889 meV per atom (same order as the records).